No. 1
First-principles (PBE) data for crystalline Pr2YHo5Th at its relaxed geometry, as listed in the Alexandria database.

Properties
The value obtained for the volume is 33.613 Å³/atom. Its space group is Cmc2_1, No. 36. As for the formation enthalpy at 0 K: 0.17 eV/atom. As for the calculated density: 7.8 g cm⁻³.

```
18
Lattice="5.620 0.000 0.000 -2.810 9.900 0.000 0.000 0.000 10.873" Properties=species:S:1:pos:R:3 pbc="T T T"
Pr 2.810 7.619 8.890
Pr 0.000 2.272 7.974
Pr 0.000 2.281 3.453
Pr 2.810 7.629 2.538
Y 2.810 5.901 5.532
Y 0.000 4.000 0.095
Ho 0.000 7.769 0.227
Ho 2.810 4.316 8.807
Ho 0.000 9.509 8.019
Ho 0.000 5.935 7.712
Ho 2.810 9.593 5.734
Ho 2.810 2.132 5.663
Ho 0.000 5.584 3.370
Ho 2.810 0.392 2.583
Ho 2.810 3.966 2.275
Ho 0.000 0.308 0.297
Th 2.810 1.632 10.432
Th 0.000 8.269 4.995
```

---

No. 2
First-principles (PBE) data for crystalline Li2Tm3PuSe6 at its relaxed geometry, as listed in the Alexandria database.

Properties
The value obtained for the volume is 23.337 Å³/atom. Its space group is C2/m, No. 12. The value obtained for the formation energy without anion corrections is -159.7 kJ per mole of atoms. As for the calculated density: 7.3 g cm⁻³.

```
12
Lattice="4.033 0.000 0.000 0.000 8.085 0.259 -2.017 -2.355 8.513" Properties=species:S:1:pos:R:3 pbc="T T T"
Li 2.017 3.730 5.696
Li 0.000 2.000 3.076
Tm 2.017 4.042 0.130
Tm 2.017 -0.221 5.723
Tm 0.000 5.951 3.049
Pu 2.017 0.000 0.000
Se 0.000 5.824 5.854
Se 2.017 3.942 2.977
Se 2.017 -0.094 2.919
Se 0.000 2.078 0.093
Se 2.017 3.651 8.679
Se 0.000 1.787 5.795
```

---

No. 3
First-principles (PBE) data for crystalline LiDyTlPb at its relaxed geometry, as listed in the Alexandria database.

Properties
The value obtained for the volume is 25.346 Å³/atom. For the offset from the most stable computed form, the calculation gives 0 meV/atom. Its space group is Pmmm, No. 47. As for the formation enthalpy at 0 K: -0.35 eV/atom. As for the calculated density: 9.5 g cm⁻³.

```
4
Lattice="4.256 0.000 0.000 0.000 4.790 0.000 0.000 0.000 4.973" Properties=species:S:1:pos:R:3 pbc="T T T"
Li 2.128 0.000 2.486
Dy 2.128 2.395 0.000
Tl 0.000 2.395 2.486
Pb 0.000 0.000 0.000
```

---

No. 4
First-principles (PBE) data for crystalline Sb2MoBr at its relaxed geometry, as listed in the Alexandria database.

Properties
The value obtained for the volume is 28.186 Å³/atom. For the offset from the most stable computed form, the calculation gives 129 meV/atom. Its space group is Imm2, No. 44. The value obtained for the formation energy without anion corrections is 19.8 kJ per mole of atoms. As for the calculated density: 6.2 g cm⁻³.

```
4
Lattice="-4.518 -6.233 2.623 0.662 -7.979 1.428 1.809 7.902 0.654" Properties=species:S:1:pos:R:3 pbc="T T T"
Sb -0.391 -1.442 0.411
Sb -2.230 -2.390 2.558
Mo 0.197 -3.864 2.131
Br -1.552 -5.720 1.630
```

---

No. 5
First-principles (PBE) data for crystalline TaFe2TcH at its relaxed geometry, as listed in the Alexandria database.

Properties
The value obtained for the volume is 11.142 Å³/atom. For the offset from the most stable computed form, the calculation gives 0 meV/atom. Its space group is P4/mmm, No. 123. As for the calculated density: 11.7 g cm⁻³.

```
5
Lattice="3.772 0.000 0.000 0.000 3.772 0.000 0.000 0.000 3.916" Properties=species:S:1:pos:R:3 pbc="T T T"
Fe 0.000 1.886 0.000
Fe 1.886 0.000 0.000
H 0.000 0.000 0.000
Tc 0.000 0.000 1.958
Ta 1.886 1.886 1.958
```

---

No. 6
First-principles (PBE) data for crystalline KNaIrF6 at its relaxed geometry, as listed in the Alexandria database.

Properties
The value obtained for the volume is 17.631 Å³/atom. Its space group is P312, No. 149. The value obtained for the formation energy without anion corrections is -208.9 kJ per mole of atoms. As for the calculated density: 3.9 g cm⁻³.

```
9
Lattice="5.451 0.000 0.000 0.000 5.797 0.000 0.000 -2.899 5.021" Properties=species:S:1:pos:R:3 pbc="T T T"
K 0.000 0.000 3.347
Na 2.726 2.899 1.674
Ir 2.726 0.000 0.000
F 3.827 2.118 3.582
F 3.827 1.636 0.043
F 3.827 4.942 1.396
F 1.624 0.855 1.396
F 1.624 4.161 0.043
F 1.624 3.680 3.582
```

---

No. 7
First-principles (PBE) data for crystalline CsKAg at its relaxed geometry, as listed in the Alexandria database.

Properties
The value obtained for the volume is 54.797 Å³/atom. For the offset from the most stable computed form, the calculation gives 50 meV/atom. Its space group is I4mm, No. 107. As for the formation enthalpy at 0 K: 0.06 eV/atom. As for the calculated density: 2.8 g cm⁻³.

```
3
Lattice="-2.045 -0.090 -3.924 0.661 -4.370 -0.244 -6.644 0.905 5.937" Properties=species:S:1:pos:R:3 pbc="T T T"
Cs -0.572 -0.103 0.301
K -4.176 -0.754 2.193
Ag -3.280 -2.697 -0.725
```

---

No. 8
First-principles (PBE) data for crystalline Tc2SnGe2 at its relaxed geometry, as listed in the Alexandria database.

Properties
The value obtained for the volume is 16.768 Å³/atom. For the offset from the most stable computed form, the calculation gives 196 meV/atom. Its space group is P4/mbm, No. 127. As for the formation enthalpy at 0 K: 0.22 eV/atom. As for the calculated density: 9.1 g cm⁻³.

```
10
Lattice="7.492 0.000 0.000 0.000 7.492 0.000 0.000 0.000 2.987" Properties=species:S:1:pos:R:3 pbc="T T T"
Ge 2.740 6.486 0.000
Ge 6.486 4.752 0.000
Ge 4.752 1.006 0.000
Ge 1.006 2.740 0.000
Sn 0.000 0.000 0.000
Sn 3.746 3.746 0.000
Tc 1.177 4.923 1.494
Tc 4.923 6.315 1.494
Tc 6.315 2.569 1.494
Tc 2.569 1.177 1.494
```

---

No. 9
First-principles (PBE) data for crystalline Nd2Sm2DyTm2 at its relaxed geometry, as listed in the Alexandria database.

Properties
The value obtained for the volume is 32.743 Å³/atom. Its space group is C2/m, No. 12. As for the formation enthalpy at 0 K: 0.02 eV/atom. As for the calculated density: 7.9 g cm⁻³.

```
7
Lattice="-4.139 1.544 -2.501 3.947 -3.352 -3.449 -4.158 -6.134 3.094" Properties=species:S:1:pos:R:3 pbc="T T T"
Nd -1.240 -3.364 -0.024
Nd -3.109 -4.578 -2.833
Sm -4.796 -4.007 0.311
Sm 0.446 -3.935 -3.168
Dy 0.000 0.000 0.000
Tm -1.842 -1.194 -2.841
Tm -2.508 -6.748 -0.016
```

---

No. 10
First-principles (PBE) data for crystalline TaMn2RhW at its relaxed geometry, as listed in the Alexandria database.

Properties
The value obtained for the volume is 17.607 Å³/atom. Its space group is P4/mmm, No. 123. As for the formation enthalpy at 0 K: 1.89 eV/atom. As for the calculated density: 10.9 g cm⁻³.

```
5
Lattice="-4.196 0.132 1.206 1.132 -1.724 4.127 0.569 4.050 1.535" Properties=species:S:1:pos:R:3 pbc="T T T"
Mn 0.284 2.025 0.768
Mn -2.098 0.066 0.603
Rh 0.566 -0.862 2.064
W -1.248 1.229 3.434
Ta 0.000 0.000 0.000
```

---

No. 11
First-principles (PBE) data for crystalline Ho2CuRu at its relaxed geometry, as listed in the Alexandria database.

Properties
The value obtained for the volume is 20.102 Å³/atom. Its space group is P4/mmm, No. 123. As for the formation enthalpy at 0 K: -0.37 eV/atom. As for the calculated density: 10.2 g cm⁻³.

```
4
Lattice="3.402 0.000 0.000 0.000 3.402 0.000 0.000 0.000 6.946" Properties=species:S:1:pos:R:3 pbc="T T T"
Ru 1.701 1.701 0.000
Ho 0.000 0.000 5.279
Ho 0.000 0.000 1.667
Cu 1.701 1.701 3.473
```

---

No. 12
First-principles (PBE) data for crystalline Ir3Se at its relaxed geometry, as listed in the Alexandria database.

Properties
The value obtained for the volume is 24.174 Å³/atom. For the offset from the most stable computed form, the calculation gives 1628 meV/atom. Its space group is Pm-3m, No. 221. The value obtained for the formation energy without anion corrections is 184.9 kJ per mole of atoms. As for the calculated density: 11.3 g cm⁻³.

```
4
Lattice="-4.276 -0.563 1.571 0.903 -4.414 0.877 1.403 1.126 4.222" Properties=species:S:1:pos:R:3 pbc="T T T"
Ir -2.138 -0.281 0.786
Ir 0.452 -2.207 0.439
Ir 0.702 0.563 2.111
Se 0.000 0.000 0.000
```

---

No. 13
First-principles (PBE) data for crystalline LaPr4Rh3 at its relaxed geometry, as listed in the Alexandria database.

Properties
The value obtained for the volume is 30.426 Å³/atom. Its space group is Cc, No. 9. As for the formation enthalpy at 0 K: -0.54 eV/atom. As for the calculated density: 6.9 g cm⁻³.

```
16
Lattice="-1.022 7.145 -0.525 2.233 -3.815 -6.389 -10.434 -1.365 1.734" Properties=species:S:1:pos:R:3 pbc="T T T"
Pr -9.625 -0.059 0.159
Pr -5.066 5.222 -1.046
Pr -6.172 1.438 -1.752
Pr -1.293 4.490 -2.794
Pr -7.536 -2.456 -2.453
Pr -2.653 0.563 -3.492
Pr -4.035 -3.354 -4.121
Pr 0.492 2.152 -5.343
Rh -8.916 2.321 -1.323
Rh -3.691 2.948 -2.186
Rh -5.113 -0.935 -2.996
Rh 0.109 -0.285 -3.860
Rh -7.504 2.260 -4.210
Rh -2.293 2.986 -5.080
La -6.170 0.034 -5.408
La -0.586 -1.845 -6.087
```

---

No. 14
First-principles (PBE) data for crystalline HoBe17Mo at its relaxed geometry, as listed in the Alexandria database.

Properties
The value obtained for the volume is 9.264 Å³/atom. Its space group is R3m, No. 160. As for the formation enthalpy at 0 K: -0.13 eV/atom. As for the calculated density: 3.9 g cm⁻³.

```
19
Lattice="0.429 -2.954 4.789 4.512 -3.052 -1.475 3.880 3.265 2.478" Properties=species:S:1:pos:R:3 pbc="T T T"
Ho 5.831 -1.812 3.828
Be 2.892 1.453 3.120
Be 1.614 -2.952 2.982
Be 4.310 -1.241 -0.314
Be 3.337 -2.993 0.337
Be 4.043 1.426 1.355
Be 1.435 -1.172 4.096
Be 5.277 -2.474 1.220
Be 4.957 0.720 3.219
Be 3.212 -2.425 4.388
Be 3.546 -0.298 4.491
Be 3.854 -3.377 2.564
Be 5.536 -0.345 1.437
Be 2.262 -1.524 -0.722
Be 1.948 1.618 1.244
Be 0.232 -1.475 2.394
Be 8.012 -2.490 5.260
Be 0.896 -0.279 0.589
Mo 2.968 -0.922 1.949
```

---

No. 15
First-principles (PBE) data for crystalline AcNdTlCd at its relaxed geometry, as listed in the Alexandria database.

Properties
The value obtained for the volume is 32.056 Å³/atom. For the offset from the most stable computed form, the calculation gives 6 meV/atom. Its space group is F-43m, No. 216. As for the formation enthalpy at 0 K: -0.32 eV/atom. As for the calculated density: 8.9 g cm⁻³.

```
4
Lattice="5.660 0.000 0.000 2.830 4.902 0.000 2.830 1.634 4.622" Properties=species:S:1:pos:R:3 pbc="T T T"
Ac 5.660 3.268 2.311
Nd 0.000 0.000 0.000
Tl 2.830 1.634 1.155
Cd 8.490 4.902 3.466
```

---

No. 16
First-principles (PBE) data for crystalline Rb3HoAg2Br8 at its relaxed geometry, as listed in the Alexandria database.

Properties
The value obtained for the volume is 39.119 Å³/atom. Its space group is P-3m1, No. 164. The value obtained for the formation energy without anion corrections is -129.6 kJ per mole of atoms. As for the calculated density: 3.9 g cm⁻³.

```
14
Lattice="-1.157 7.119 3.103 -1.522 -6.427 4.245 9.639 0.036 3.510" Properties=species:S:1:pos:R:3 pbc="T T T"
Rb 4.539 -1.890 6.027
Rb 2.421 2.617 4.831
Rb 0.000 0.000 0.000
Ho 4.820 0.018 1.755
Ag 0.347 -1.906 4.501
Ag 6.613 2.632 6.358
Br 7.615 -1.879 7.148
Br -0.655 2.606 3.711
Br 1.803 -4.190 5.246
Br 5.158 4.917 5.612
Br 2.575 -0.930 3.093
Br 4.386 1.657 7.765
Br 1.216 -0.580 6.820
Br 5.744 1.306 4.038
```

---

No. 17
First-principles (PBE) data for crystalline Ta2NbTe6 at its relaxed geometry, as listed in the Alexandria database.

Properties
The value obtained for the volume is 28.510 Å³/atom. For the offset from the most stable computed form, the calculation gives 0 meV/atom. Its space group is C2/m, No. 12. The value obtained for the formation energy without anion corrections is -38.5 kJ per mole of atoms. As for the calculated density: 7.9 g cm⁻³.

```
9
Lattice="-3.449 -0.884 -0.746 -0.467 -4.269 7.218 -0.709 9.159 1.297" Properties=species:S:1:pos:R:3 pbc="T T T"
Ta -3.792 2.689 5.474
Ta -0.834 1.317 2.296
Nb -1.725 -0.442 -0.373
Te -2.062 1.778 7.427
Te -4.244 7.050 2.396
Te -2.866 0.311 4.010
Te -0.382 -3.043 5.373
Te -2.564 2.228 0.343
Te -1.760 3.695 3.760
```

---

No. 18
First-principles (PBE) data for crystalline ErSc2H6 at its relaxed geometry, as listed in the Alexandria database.

Properties
The value obtained for the volume is 9.661 Å³/atom. Its space group is C2/m, No. 12. The calculation puts the final energy at -4.832 eV/atom. As for the calculated density: 5.0 g cm⁻³.

```
9
Lattice="-2.913 -1.299 1.327 2.415 -3.958 1.428 1.311 4.912 3.157" Properties=species:S:1:pos:R:3 pbc="T T T"
Er 0.000 0.000 0.000
Sc 0.701 1.508 2.994
Sc 0.111 -1.853 2.918
H -1.340 1.807 3.303
H 0.989 -0.244 1.921
H 2.153 -2.152 2.609
H -0.808 -1.712 1.047
H -0.176 -0.101 3.991
H 0.310 -3.545 1.708
```

---

No. 19
First-principles (PBE) data for crystalline TbEuPtRh at its relaxed geometry, as listed in the Alexandria database.

Properties
The value obtained for the volume is 21.586 Å³/atom. Its space group is F-43m, No. 216. As for the formation enthalpy at 0 K: -0.80 eV/atom. As for the calculated density: 11.7 g cm⁻³.

```
4
Lattice="4.961 0.000 0.000 2.481 4.296 0.000 2.481 1.432 4.051" Properties=species:S:1:pos:R:3 pbc="T T T"
Eu 0.000 0.000 0.000
Rh 2.481 1.432 1.013
Tb 4.961 2.864 2.025
Pt 7.442 4.296 3.038
```

---

No. 20
First-principles (PBE) data for crystalline Ca3Cu3Pt at its relaxed geometry, as listed in the Alexandria database.

Properties
The value obtained for the volume is 22.066 Å³/atom. Its space group is C2/m, No. 12. As for the formation enthalpy at 0 K: -0.35 eV/atom. As for the calculated density: 5.4 g cm⁻³.

```
14
Lattice="-2.705 -1.192 3.097 -4.427 -2.827 -1.995 5.361 -12.702 2.753" Properties=species:S:1:pos:R:3 pbc="T T T"
Ca 0.440 -9.234 2.749
Ca -2.210 -7.487 1.106
Ca -0.572 -4.101 0.881
Ca -1.199 -12.620 2.973
Ca 2.593 -13.011 3.175
Ca -4.363 -3.710 0.680
Cu -2.680 -9.900 2.727
Cu 0.909 -6.821 1.128
Cu 0.776 -14.348 1.074
Cu -2.546 -2.373 2.781
Cu -5.175 -6.475 1.865
Cu 3.405 -10.246 1.990
Pt -0.451 -6.075 3.186
Pt -1.320 -10.646 0.669
```

---

Number 1: M_tot 0.00 μB/atom. Number 2: M_tot 0.51 μB/atom. Number 3: M_tot 0.00 μB/atom. Number 4: M_tot 0.00 μB/atom. Number 5: M_tot 0.44 μB/atom. Number 6: M_tot 0.11 μB/atom. Number 7: M_tot 0.00 μB/atom. Number 8: M_tot 0.00 μB/atom. Number 9: M_tot 0.00 μB/atom. Number 10: M_tot 0.00 μB/atom. Number 11: M_tot 0.00 μB/atom. Number 12: M_tot 0.00 μB/atom. Number 13: M_tot 0.00 μB/atom. Number 14: M_tot 0.00 μB/atom. Number 15: M_tot 0.12 μB/atom. Number 16: M_tot 0.00 μB/atom. Number 17: M_tot 0.00 μB/atom. Number 18: M_tot 0.00 μB/atom. Number 19: M_tot 1.68 μB/atom. Number 20: M_tot 0.00 μB/atom.